In2BiWSe | PBE-GGA | relaxed

POSCAR file:
```
In2BiWSe
1.0
5.491 0.000 0.000
0.000 5.491 0.000
0.000 0.000 5.827
In Bi W Se
2 1 1 1
Direct
0.000 0.500 0.000
0.500 0.000 0.000
0.000 0.000 0.500
0.500 0.500 0.500
0.000 0.000 0.000
```

Computed properties:
Density of states at the Fermi level in states/eV/f.u.: 2.93
Total DFT energy (no corrections) in eV/atom: -3.75
Magnetization in μB per cell: 4.16

***

LiGdYCo | PBE-GGA | relaxed

POSCAR file:
```
LiGdYCo
1.0
0.000 3.460 3.460
3.460 0.000 3.460
3.460 3.460 0.000
Li Gd Y Co
1 1 1 1
Direct
0.000 0.000 0.000
0.750 0.750 0.750
0.250 0.250 0.250
0.500 0.500 0.500
```

Computed properties:
Density of states at the Fermi level in states/eV/f.u.: 3.04
Calculated formation energy in kJ/mol of atoms: -5.00
Magnetization in μB per cell: 7.15

***

Pu3CCl3 | PBE-GGA | relaxed

POSCAR file:
```
Pu3CCl3
1.0
4.132 -6.608 0.000
4.132 6.608 0.000
-1.377 0.000 6.202
Pu C Cl
6 2 6
Direct
0.087 0.087 0.268
0.167 0.443 0.794
0.443 0.167 0.794
0.557 0.833 0.206
0.833 0.557 0.206
0.913 0.913 0.732
0.169 0.169 0.634
0.831 0.831 0.366
0.176 0.824 0.000
0.272 0.728 0.500
0.406 0.406 0.177
0.594 0.594 0.823
0.728 0.272 0.500
0.824 0.176 0.000
```

Computed properties:
Energy above the most stable polymorph in this dataset in eV/atom: 0.244
Density of states at the Fermi level in states/eV/f.u.: 28.79
Magnetization in μB per cell: 12.53

***

- Which of these has the lowest magnetization?
  In2BiWSe

***

- Number 2 is which compound?
  LiGdYCo

***

- What is the formula in the third record?
  Pu3CCl3

***

- Which of these has the lowest magnetization?
  In2BiWSe